Ba3Dy2ThBi6: optimized geometry, GGA-PBE.

```
Ba3Dy2ThBi6
1.0
4.083 -7.076 0.000
4.083 7.076 0.000
-2.723 0.000 8.113
Ba Dy Th Bi
3 2 1 6
direct
0.000 0.000 0.000
0.334 0.666 0.000
0.666 0.334 0.000
0.167 0.833 0.500
0.833 0.167 0.500
0.500 0.500 0.500
0.092 0.428 0.286
0.234 0.234 0.714
0.428 0.092 0.286
0.572 0.908 0.714
0.766 0.766 0.286
0.908 0.572 0.714
```

Computed properties:
Energy (eV per atom): -4.59